Computed, not measured: a relaxed structure of AlVI2N at the GGA-PBE level of DFT.

Properties
Its total moment is 1.0 μB/f.u. The value obtained for the uncorrected formation energy is 0.417 eV/f.u. The density of states at the Fermi level is 0.24 states/eV per atom. For the raw total energy, the calculation gives -4.7740 eV/atom. As for the symmetry: P4/mmm. The crystal system is tetragonal. The energy above the lowest structure with this stoichiometry comes out at 0.000 eV per atom.

The structure in POSCAR format:
```
AlVI2N
1.0
-3.156 -1.384 -4.547
4.705 -0.135 -3.225
0.439 -3.603 0.792
I N Al V
2 1 1 1
Direct
0.000 0.500 0.000
0.500 0.000 0.000
0.000 0.000 0.500
0.500 0.500 0.500
0.000 0.000 0.000
```


Computed, not measured: a relaxed structure of Ho2TlTe at the GGA-PBE level of DFT.

Properties
Its total moment is 0.0 μB/f.u. The value obtained for the uncorrected formation energy is -3.129 eV/f.u. The density of states at the Fermi level is 0.45 states/eV per atom. For the raw total energy, the calculation gives -4.4482 eV/atom. As for the symmetry: C2/m. The crystal system is monoclinic. The energy above the lowest structure with this stoichiometry comes out at 0.000 eV per atom.

The structure in POSCAR format:
```
Ho2TlTe
1.0
-2.213 1.383 -3.257
-1.788 -0.331 3.748
4.073 7.080 0.238
Ho Tl Te
2 1 1
Direct
0.251 0.001 0.252
0.749 0.999 0.748
0.500 0.500 0.000
0.000 0.500 0.500
```


Computed, not measured: a relaxed structure of PdRuPt at the GGA-PBE level of DFT.

Properties
Its total moment is 0.0 μB/f.u. The density of states at the Fermi level is 1.43 states/eV per atom. The calculated formation energy comes out at 0.078 eV per atom. For the raw total energy, the calculation gives -6.7588 eV/atom. As for the symmetry: C2. The crystal system is monoclinic. The energy above the lowest structure with this stoichiometry comes out at 0.015 eV per atom.

The structure in POSCAR format:
```
PdRuPt
1.0
4.799 0.000 -0.004
0.000 8.291 0.000
-1.597 0.000 4.498
Pd Ru Pt
4 4 4
Direct
0.000 0.220 0.000
0.000 0.720 0.500
0.000 0.554 0.000
0.000 0.054 0.500
0.000 0.895 0.000
0.000 0.395 0.500
0.500 0.544 0.500
0.500 0.044 0.000
0.500 0.885 0.500
0.500 0.385 0.000
0.500 0.221 0.500
0.500 0.721 0.000
```


Computed, not measured: a relaxed structure of UBiSe4 at the GGA-PBE level of DFT.

Properties
Its total moment is 1.0 μB/f.u. The value obtained for the uncorrected formation energy is -4.614 eV/f.u. The density of states at the Fermi level is 0.73 states/eV per atom. For the raw total energy, the calculation gives -5.6203 eV/atom. As for the symmetry: C2/m. The crystal system is monoclinic. The energy above the lowest structure with this stoichiometry comes out at 0.000 eV per atom.

The structure in POSCAR format:
```
UBiSe4
1.0
-2.554 1.609 2.887
-5.139 -4.633 -1.963
6.219 -7.412 9.632
U Bi Se
2 2 8
Direct
0.000 0.500 0.500
0.500 0.500 0.000
0.500 0.000 0.500
0.000 0.000 0.000
0.500 0.612 0.386
0.000 0.388 0.114
0.500 0.388 0.614
0.000 0.612 0.886
0.000 0.153 0.383
0.500 0.847 0.117
0.000 0.847 0.617
0.500 0.153 0.883
```


Computed, not measured: a relaxed structure of NaCu2PdCl6 at the GGA-PBE level of DFT.

Properties
Its total moment is 1.0 μB/f.u. The value obtained for the uncorrected formation energy is -7.023 eV/f.u. The density of states at the Fermi level is 0.38 states/eV per atom. For the raw total energy, the calculation gives -3.2807 eV/atom. As for the symmetry: P1. The crystal system is triclinic.

The structure in POSCAR format:
```
NaCu2PdCl6
1.0
-5.313 -3.125 2.194
-0.297 -6.527 -0.249
0.699 -3.562 6.406
Na Cu Pd Cl
1 2 1 6
Direct
0.816 0.816 0.551
0.578 0.577 0.267
0.053 0.055 0.837
0.316 0.316 0.051
0.546 0.250 0.280
0.251 0.924 0.280
0.924 0.545 0.280
0.381 0.709 0.823
0.708 0.088 0.822
0.087 0.382 0.822
```


Computed, not measured: a relaxed structure of BaBeTl2 at the GGA-PBE level of DFT.

Properties
Its total moment is 0.0 μB/f.u. The density of states at the Fermi level is 0.60 states/eV per atom. The calculated formation energy comes out at 0.097 eV per atom. For the raw total energy, the calculation gives -2.4980 eV/atom. As for the symmetry: P2/m. The crystal system is monoclinic. The energy above the lowest structure with this stoichiometry comes out at 0.064 eV per atom.

The structure in POSCAR format:
```
BaBeTl2
1.0
4.240 0.000 0.000
0.000 5.146 -0.023
0.000 1.869 5.569
Be Tl Ba
1 2 1
Direct
0.500 0.750 0.750
0.000 0.929 0.922
0.000 0.571 0.578
0.500 0.250 0.250
```


no.,V (Å³ per atom)
1,24.18
2,29.36
3,14.91
4,33.69
5,23.38
6,30.42